# 1
MnRhC3 | PBE | optimized geometry

Cell and atoms, written as POSCAR:
```
MnRhC3
1.0
3.919 0.000 0.000
0.000 3.919 0.000
0.000 0.000 3.919
Mn Rh C
1 1 3
Direct
0.000 0.000 0.000
0.500 0.500 0.500
0.000 0.500 0.500
0.500 0.000 0.500
0.500 0.500 0.000
```

Calculated values
DFT formation energy (eV per atom): 2.68
Theoretical density (Mg/m³): 5.35
DOS(E_F) (states/eV per atom): 1.10
Calculated volume (Å³/atom): 12.04


# 2
Cs2TbAg2Te4 | PBE | optimized geometry

Cell and atoms, written as POSCAR:
```
Cs2TbAg2Te4
1.0
8.335 -2.237 0.000
8.335 2.237 0.000
-2.799 0.000 8.740
Cs Tb Ag Te
2 1 2 4
Direct
0.132 0.132 0.064
0.868 0.868 0.936
0.000 0.000 0.500
0.319 0.319 0.519
0.681 0.681 0.481
0.194 0.194 0.679
0.486 0.486 0.727
0.514 0.514 0.273
0.806 0.806 0.321
```

Calculated values
Theoretical density (Mg/m³): 5.86
Uncorrected energy (eV for the cell shown): -32.38
DOS(E_F) (states/eV per atom): 0.42
Calculated volume (Å³/atom): 36.21


# 3
KSc2TiMo | PBE | optimized geometry

Cell and atoms, written as POSCAR:
```
KSc2TiMo
1.0
4.948 0.000 0.000
0.000 4.948 0.000
0.000 0.000 5.042
K Sc Ti Mo
1 2 1 1
Direct
0.000 0.000 0.000
0.000 0.500 0.500
0.500 0.000 0.500
0.000 0.000 0.500
0.500 0.500 0.000
```

Calculated values
DFT formation energy (eV per atom): 1.81
Theoretical density (Mg/m³): 3.67
DOS(E_F) (states/eV per atom): 1.90
Calculated volume (Å³/atom): 24.69


# 4
In2RuPt | PBE | optimized geometry

Cell and atoms, written as POSCAR:
```
In2RuPt
1.0
1.542 0.890 9.104
-1.542 0.890 9.104
0.000 -1.780 9.104
In Ru Pt
2 1 1
Direct
0.000 0.000 0.000
0.236 0.236 0.236
0.490 0.490 0.490
0.747 0.747 0.747
```

Calculated values
DFT formation energy (eV per atom): 0.22
Theoretical density (Mg/m³): 11.65
DOS(E_F) (states/eV per atom): 0.79
Calculated volume (Å³/atom): 18.74


# 5
LiGa2Ag8 | PBE | optimized geometry

Cell and atoms, written as POSCAR:
```
LiGa2Ag8
1.0
3.753 -6.099 0.000
3.753 6.099 0.000
-1.915 0.000 4.348
Li Ga Ag
1 2 8
Direct
0.000 0.000 0.000
0.310 0.690 0.500
0.690 0.310 0.500
0.089 0.323 0.622
0.215 0.785 0.000
0.323 0.089 0.622
0.387 0.387 0.183
0.613 0.613 0.817
0.677 0.911 0.378
0.785 0.215 0.000
0.911 0.677 0.378
```

Calculated values
DFT formation energy (eV per atom): 0.01
Theoretical density (Mg/m³): 8.42
DOS(E_F) (states/eV per atom): 0.18
Calculated volume (Å³/atom): 18.10


# 6
Nb2RhPb4 | PBE | optimized geometry

Cell and atoms, written as POSCAR:
```
Nb2RhPb4
1.0
-2.661 2.661 6.983
2.661 -2.661 6.983
2.661 2.661 -6.983
Nb Rh Pb
2 1 4
Direct
0.090 0.090 0.000
0.910 0.910 0.000
0.500 0.500 0.000
0.000 0.500 0.500
0.303 0.303 0.000
0.500 0.000 0.500
0.697 0.697 0.000
```

Calculated values
DFT formation energy (eV per atom): 0.66
Theoretical density (Mg/m³): 9.39
DOS(E_F) (states/eV per atom): 1.04
Calculated volume (Å³/atom): 28.25


# 7
BaNiCl5 | PBE | optimized geometry

Cell and atoms, written as POSCAR:
```
BaNiCl5
1.0
-2.427 3.278 6.038
2.427 -3.278 6.038
2.427 3.278 -6.038
Ba Ni Cl
1 1 5
Direct
0.000 0.000 0.000
0.500 0.500 0.000
0.128 0.371 0.757
0.387 0.629 0.757
0.500 0.000 0.500
0.613 0.371 0.243
0.872 0.629 0.243
```

Calculated values
Theoretical density (Mg/m³): 3.23
Uncorrected energy (eV for the cell shown): -26.31
DOS(E_F) (states/eV per atom): 0.10
Calculated volume (Å³/atom): 27.44


# 8
CdGaAgBi | PBE | optimized geometry

Cell and atoms, written as POSCAR:
```
CdGaAgBi
1.0
0.000 3.626 3.626
3.626 0.000 3.626
3.626 3.626 0.000
Cd Ga Ag Bi
1 1 1 1
Direct
0.000 0.000 0.000
0.250 0.250 0.250
0.500 0.500 0.500
0.750 0.750 0.750
```

Calculated values
DFT formation energy (eV per atom): 0.12
Theoretical density (Mg/m³): 8.69
DOS(E_F) (states/eV per atom): 0.41
Calculated volume (Å³/atom): 23.84


# 9
HoAg2Pb | PBE | optimized geometry

Cell and atoms, written as POSCAR:
```
HoAg2Pb
1.0
3.300 0.000 0.000
0.000 4.875 0.000
-0.018 0.000 5.951
Ho Ag Pb
1 2 1
Direct
0.000 0.000 0.000
0.497 0.500 0.770
0.503 0.500 0.230
0.500 0.000 0.500
```

Calculated values
DFT formation energy (eV per atom): -0.16
Theoretical density (Mg/m³): 10.20
DOS(E_F) (states/eV per atom): 0.56
Calculated volume (Å³/atom): 23.93


# 10
Tb2Er3Tm5 | PBE | optimized geometry

Cell and atoms, written as POSCAR:
```
Tb2Er3Tm5
1.0
5.257 -7.738 0.000
5.257 7.738 0.000
-5.236 0.000 7.739
Tb Er Tm
4 6 10
Direct
0.017 0.271 0.047
0.271 0.017 0.547
0.729 0.983 0.453
0.983 0.729 0.953
0.022 0.978 0.750
0.222 0.468 0.450
0.468 0.222 0.950
0.532 0.778 0.050
0.778 0.532 0.550
0.978 0.022 0.250
0.140 0.385 0.772
0.229 0.771 0.750
0.274 0.726 0.250
0.385 0.140 0.272
0.474 0.526 0.250
0.526 0.474 0.750
0.615 0.860 0.728
0.726 0.274 0.750
0.771 0.229 0.250
0.860 0.615 0.228
```

Calculated values
DFT formation energy (eV per atom): 0.20
Theoretical density (Mg/m³): 8.78
DOS(E_F) (states/eV per atom): 1.75
Calculated volume (Å³/atom): 31.48


# 11
Rb3SrAc2O6 | PBE | optimized geometry

Cell and atoms, written as POSCAR:
```
Rb3SrAc2O6
1.0
3.328 -5.764 0.000
3.328 5.764 0.000
-2.214 0.000 6.648
Rb Sr Ac O
3 1 2 6
Direct
0.000 0.000 0.000
0.337 0.663 0.000
0.663 0.337 0.000
0.500 0.500 0.500
0.167 0.833 0.500
0.833 0.167 0.500
0.093 0.437 0.310
0.220 0.220 0.689
0.437 0.093 0.310
0.563 0.907 0.690
0.780 0.780 0.311
0.907 0.563 0.690
```

Calculated values
Theoretical density (Mg/m³): 5.82
Uncorrected energy (eV for the cell shown): -69.76
DOS(E_F) (states/eV per atom): 0.99
Calculated volume (Å³/atom): 21.26


# 12
NaLi2SnCl6 | PBE | optimized geometry

Cell and atoms, written as POSCAR:
```
NaLi2SnCl6
1.0
6.728 -5.917 0.000
6.728 5.917 0.000
-1.915 0.000 6.819
Na Li Sn Cl
2 4 2 12
Direct
0.097 0.903 0.750
0.903 0.097 0.250
0.116 0.291 0.781
0.291 0.116 0.281
0.709 0.884 0.719
0.884 0.709 0.219
0.390 0.610 0.250
0.610 0.390 0.750
0.091 0.186 0.042
0.142 0.629 0.377
0.186 0.091 0.542
0.323 0.465 0.880
0.371 0.858 0.123
0.465 0.323 0.380
0.535 0.677 0.620
0.629 0.142 0.877
0.677 0.535 0.120
0.814 0.909 0.458
0.858 0.371 0.623
0.909 0.814 0.958
```

Calculated values
Theoretical density (Mg/m³): 2.25
Uncorrected energy (eV for the cell shown): -68.18
DOS(E_F) (states/eV per atom): 0.26
Calculated volume (Å³/atom): 27.15